Computed, not measured: a relaxed NaCaGdWO6 crystal at the PBE+U level of DFT.

Cell: 8.3669 8.3669 8.3669 Å, 90.00 90.00 90.00°
Space group F-43m (No. 216)
Unique sites:
Na 0.0000 0.0000 0.0000
Ca 0.0000 0.0000 0.5000
Gd 0.2500 0.2500 0.7500
W 0.2500 0.2500 0.2500
O 0.0178 0.2500 0.2500

Total energy = -317.68 eV per cell